[1]
Below is a relaxed structure of Mn2GaReSe, with properties calculated at the PBE-GGA level.

abc: 3.9581 3.3288 12.2809
angles: 90.00 90.00 90.00
With the nearest neighbours (Å) after each atom.
Element x y z (fractional)
Re  0.0000  0.5000  0.4310  6 Mn 2.53-2.59, 2 Se 2.60, 2 Ga 2.82
Re  0.5000  0.0000  0.9310  6 Mn 2.53-2.59, 2 Se 2.60, 2 Ga 2.82
Mn  0.0000  0.0000  0.2758  2 Re 2.53, 1 Se 2.54, 4 Ga 2.59, 2 Mn 2.71
Mn  0.5000  0.5000  0.7758  2 Re 2.53, 1 Se 2.54, 4 Ga 2.59, 2 Mn 2.71
Mn  0.0000  0.5000  0.9267  2 Se 2.41, 2 Ga 2.57, 4 Re 2.59
Mn  0.5000  0.0000  0.4267  2 Se 2.41, 2 Ga 2.57, 4 Re 2.59
Ga  0.0000  0.0000  0.7671  6 Mn 2.57-2.59, 2 Re 2.82
Ga  0.5000  0.5000  0.2671  6 Mn 2.57-2.59, 2 Re 2.82
Se  0.0000  0.0000  0.0688  3 Mn 2.41-2.54, 2 Re 2.60
Se  0.5000  0.5000  0.5688  3 Mn 2.41-2.54, 2 Re 2.60

Computed properties:
Uncorrected formation energy   0.027 eV/atom
Crystal system   orthorhombic
SG   Imm2 (44)
Total magnetic moment   0.0237 μB/atom



[2]
Below is a relaxed structure of TaMnGaRe, with properties calculated at the PBE-GGA level.

abc: 4.3799 4.3799 4.3799
angles: 60.00 60.00 60.00
With the nearest neighbours (Å) after each atom.
Element x y z (fractional)
Re  0.5000  0.5000  0.5000  4 Ga 2.68, 4 Ta 2.68
Mn  0.0000  0.0000  0.0000  4 Ta 2.68, 4 Ga 2.68
Ga  0.2500  0.2500  0.2500  4 Re 2.68, 4 Mn 2.68
Ta  0.7500  0.7500  0.7500  4 Mn 2.68, 4 Re 2.68

Computed properties:
Energy relative to the elements   -2.33 kcal/mol of atoms
Crystal system   cubic
SG   F-43m (216)
Total magnetic moment   0.4948 μB/atom